YTl PBE optimized geometry; electronic total energy = -4.23 eV/atom; crystal system = hexagonal; formation enthalpy at 0 K = 0.185 eV/atom; space-group type = P6_3/mmc (194)
1.0
5.6365 0.0000 0.0000
-2.8183 4.8814 0.0000
0.0000 0.0000 9.0594
Y Tl
4 4
Direct
0.0000 0.0000 0.2500 Y
0.0000 0.0000 0.7500 Y
0.3333 0.6667 0.2500 Y
0.6667 0.3333 0.7500 Y
0.3333 0.6667 0.5861 Tl
0.3333 0.6667 0.9139 Tl
0.6667 0.3333 0.0861 Tl
0.6667 0.3333 0.4139 Tl



ScNb2Fe PBE optimized geometry; electronic total energy = -8.42 eV/atom; ΔE to the lowest computed polymorph = 0.32 eV per formula unit; crystal system = tetragonal; formation enthalpy at 0 K = 0.315 eV/atom; space-group type = I-42d (122)
1.0
-3.6735 3.6735 2.7231
3.6735 -3.6735 2.7231
3.6735 3.6735 -2.7231
Sc Nb Fe
2 4 2
Direct
0.0000 0.0000 0.0000 Sc
0.7500 0.2500 0.5000 Sc
0.1839 0.6250 0.0589 Nb
0.3750 0.4339 0.5589 Nb
0.5661 0.1250 0.9411 Nb
0.8750 0.8161 0.4411 Nb
0.2500 0.7500 0.5000 Fe
0.5000 0.5000 0.0000 Fe



Sc5SnRu PBE optimized geometry; electronic total energy = -6.68 eV/atom; crystal system = monoclinic; formation enthalpy at 0 K = -0.258 eV/atom; space-group type = C2/c (15)
1.0
3.9757 -3.5939 0.0000
3.9757 3.5939 0.0000
-2.8449 0.0000 10.8659
Sc Sn Ru
10 2 2
Direct
0.0183 0.9817 0.7500 Sc
0.0763 0.4265 0.6211 Sc
0.2008 0.5225 0.9263 Sc
0.4265 0.0763 0.1211 Sc
0.4775 0.7992 0.5737 Sc
0.5225 0.2008 0.4263 Sc
0.5735 0.9237 0.8789 Sc
0.7992 0.4775 0.0737 Sc
0.9237 0.5735 0.3789 Sc
0.9817 0.0183 0.2500 Sc
0.3847 0.6153 0.2500 Sn
0.6153 0.3847 0.7500 Sn
0.0000 0.0000 0.0000 Ru
0.0000 0.0000 0.5000 Ru